GGA-PBE YInTe2, optimized geometry; formation energy without anion corrections = -845 meV/atom
1.0
-0.6755 -0.2052 -6.9805
-0.5423 -4.4550 0.1835
-16.6419 2.0895 1.5490
Y Te In
4 8 4
Cartesian
-10.3337 0.1583 0.7903
-2.5824 -3.2047 -2.9769
-7.5260 -2.7290 -6.0384
-15.2773 0.6340 -2.2712
-8.4522 -0.2874 -4.4717
-17.0426 -1.4697 -3.5874
-9.4075 -2.2833 -0.7764
-0.8171 -1.1011 -1.6607
-12.2920 0.2956 -1.6633
-4.0351 -2.9137 -0.2057
-5.5677 -2.8663 -3.5847
-13.8246 0.3430 -5.0424
-6.3177 -0.4400 -1.8665
-14.7704 -1.5804 0.4406
-11.5420 -2.1307 -3.3816
-3.0893 -0.9904 -5.6886